Record 1
This record from Alexandria via LeMat-Bulk describes a relaxed Rb2InHg8 crystal. The functional is PBE-GGA.

Summary:
DFT total energy = -8.7 eV for the cell shown
E_form = -0.147 eV per atom

POSCAR file:
```
Rb2InHg8
1.0
-0.332 -5.664 -0.683
7.561 -0.339 -2.639
-3.668 4.588 10.420
Hg In Rb
8 1 2
Direct
0.564 0.152 0.330 Hg
0.061 0.149 0.814 Hg
0.939 0.851 0.186 Hg
0.811 0.363 0.033 Hg
0.189 0.637 0.967 Hg
0.902 0.635 0.670 Hg
0.098 0.365 0.330 Hg
0.436 0.848 0.670 Hg
0.500 0.000 0.000 In
0.398 0.321 0.661 Rb
0.602 0.679 0.339 Rb
```

---

Record 2
This record from Alexandria via LeMat-Bulk describes a relaxed NbAl5Co4 crystal. The functional is PBE-GGA.

Summary:
DFT total energy = -62.7 eV for the cell shown
E_form = -0.549 eV per atom

POSCAR file:
```
NbAl5Co4
1.0
2.856 0.000 0.000
0.000 2.856 0.000
0.000 0.000 15.479
Al Co Nb
5 4 1
Direct
0.500 0.500 0.685 Al
0.500 0.500 0.868 Al
0.500 0.500 0.132 Al
0.500 0.500 0.500 Al
0.500 0.500 0.315 Al
0.000 0.000 0.777 Co
0.000 0.000 0.408 Co
0.000 0.000 0.223 Co
0.000 0.000 0.592 Co
0.000 0.000 0.000 Nb
```

---

Repeat the second record exactly.
This record from Alexandria via LeMat-Bulk describes a relaxed NbAl5Co4 crystal. The functional is PBE-GGA.

Summary:
DFT total energy = -62.7 eV for the cell shown
E_form = -0.549 eV per atom

POSCAR file:
```
NbAl5Co4
1.0
2.856 0.000 0.000
0.000 2.856 0.000
0.000 0.000 15.479
Al Co Nb
5 4 1
Direct
0.500 0.500 0.685 Al
0.500 0.500 0.868 Al
0.500 0.500 0.132 Al
0.500 0.500 0.500 Al
0.500 0.500 0.315 Al
0.000 0.000 0.777 Co
0.000 0.000 0.408 Co
0.000 0.000 0.223 Co
0.000 0.000 0.592 Co
0.000 0.000 0.000 Nb
```

---

Question: DFT total energy of number 2 (NbAl5Co4)?
Answer: -62.7 eV for the cell shown

---

Question: Which formula does entry 1 have?
Answer: Rb2InHg8